Entry 1:
MnGeTe3 after structural relaxation. Source: Alexandria via LeMat-Bulk, functional PBE.

Calculated values
VASP energy = -4.62 eV/atom
uncorrected formation energy = 0.019 eV/atom
magnetic moment = 0.000 μB/f.u.

a = 8.330 Å, b = 8.330 Å, c = 8.330 Å
α = 66.52°, β = 134.33°, γ = 134.39°
Sites, in units of the cell vectors:
Mn 0.669 0.930 0.239
Mn 0.691 0.430 0.761
Ge 0.471 0.085 0.886
Ge 0.200 0.585 0.114
Te 0.847 0.262 0.750
Te 0.847 0.597 0.084
Te 0.513 0.762 0.916
Te 0.190 0.284 0.406
Te 0.513 0.097 0.250
Te 0.878 0.784 0.594


Entry 2:
LaAsC2S after structural relaxation. Source: Alexandria via LeMat-Bulk, functional PBE.

Calculated values
VASP energy = -5.46 eV/atom
uncorrected formation energy = 0.970 eV/atom
magnetic moment = 0.000 μB/f.u.

a = 3.979 Å, b = 6.341 Å, c = 3.979 Å
α = 90.00°, β = 90.00°, γ = 90.00°
Sites, in units of the cell vectors:
C 0.000 0.000 0.500
C 0.500 0.000 0.000
As 0.000 0.000 0.000
S 0.500 0.500 0.500
La 0.000 0.500 0.000


Entry 3:
Ba2VPt2 after structural relaxation. Source: Alexandria via LeMat-Bulk, functional PBE.

Calculated values
energy of formation from the pure elements = 0.27 eV per atom
excess energy over the best structure of this formula in the dataset = 0.064 eV per atom
VASP energy = -4.74 eV/atom
magnetic moment = 3.913 μB/f.u.

a = 8.828 Å, b = 8.828 Å, c = 3.698 Å
α = 90.00°, β = 90.00°, γ = 90.00°
Last column: magnetic moment on the atom in μB.
Sites, in units of the cell vectors:
Ba 0.360 0.860 0.000  0.04
Ba 0.860 0.640 0.000  0.04
Ba 0.640 0.140 0.000  0.04
Ba 0.140 0.360 0.000  0.04
Pt 0.166 0.666 0.500  -0.01
Pt 0.666 0.834 0.500  -0.01
Pt 0.834 0.334 0.500  -0.01
Pt 0.334 0.166 0.500  -0.01
V 0.000 0.000 0.000  3.03
V 0.500 0.500 0.000  3.03